Computed, not measured: a relaxed structure of KCoBr2O at the PBE+U level of DFT.

a = 5.002 Å, b = 4.757 Å, c = 5.002 Å
α = 90.00°, β = 90.00°, γ = 90.00°
Site moments in Bohr magnetons follow the coordinates.
Positions (direct):
Br: 0.000 0.000 0.500  0.01
Br: 0.500 0.000 0.000  0.00
O: 0.000 0.000 0.000  0.00
Co: 0.500 0.500 0.500  2.02
K: 0.000 0.500 0.000  0.00

Calculated values
SG = P4/mmm
VASP energy = -2.678 eV/atom